This record from the Alexandria database describes crystalline Si2MoIrO at its relaxed geometry. The functional is GGA+U.

* raw total energy: -5.66 eV/atom
* density: 5.4 Mg/m³

Lattice parameters (Å, degrees): 4.4073 4.4073 5.6718 90.00 90.00 90.00
Last column: nearest neighbours and their distance in Å.
Space group P4/mmm (No. 123)
Inequivalent atoms, fractional coordinates:
1 Si 0.0000 0.5000 0.0000 [2 per cell]  2 Ir 2.20
2 Mo 0.0000 0.0000 0.5000 [1 per cell]  2 Ir 2.84, 4 O 3.12
3 Ir 0.0000 0.0000 0.0000 [1 per cell]  4 Si 2.20
4 O 0.5000 0.5000 0.5000 [1 per cell]  4 Mo 3.12